1.
LaNiOs2: relaxed, PBE.

a = 11.351 Å, b = 2.870 Å, c = 4.507 Å
α = 90.00°, β = 113.26°, γ = 90.00°
Space group C2/m (No. 12)
Inequivalent atoms, fractional coordinates:
La 0.000 0.000 0.000
Ni 0.000 0.500 0.500
Os 0.217 0.000 0.716

## Properties
Fermi-level density of states, states/eV per atom: 1.13
Distance to the lowest polymorph of the same formula, meV/atom: 414.7
Energy of formation from the pure elements, kJ/mol of atoms: 32

---

2.
KSiAu3: relaxed, PBE.

a = 4.137 Å, b = 5.422 Å, c = 15.930 Å
α = 90.00°, β = 90.00°, γ = 90.00°
Space group Amm2 (No. 38)
Inequivalent atoms, fractional coordinates:
K 0.000 0.000 0.000
Si 0.500 0.000 0.694
Au 0.000 0.244 0.190
Au 0.500 0.000 0.843

## Properties
Fermi-level density of states, states/eV per atom: 0.34
Raw formation energy, meV/atom: 140

---

3.
Ac2Al3Pd: relaxed, PBE.

a = 4.435 Å, b = 4.583 Å, c = 7.925 Å
α = 90.00°, β = 90.00°, γ = 90.00°
Space group Pmm2 (No. 25)
Inequivalent atoms, fractional coordinates:
Ac 0.000 0.000 0.000
Ac 0.500 0.000 0.489
Al 0.000 0.500 0.325
Al 0.000 0.500 0.659
Al 0.500 0.500 0.831
Pd 0.500 0.500 0.158

## Properties
Fermi-level density of states, states/eV per atom: 0.96
Distance to the lowest polymorph of the same formula, meV/atom: 0.0
Energy of formation from the pure elements, kJ/mol of atoms: -51

---

4.
Hg3Br2O: relaxed, PBE.

a = 7.150 Å, b = 7.784 Å, c = 8.096 Å
α = 96.79°, β = 90.48°, γ = 115.67°
Space group P-1 (No. 2)
Inequivalent atoms, fractional coordinates:
Hg 0.056 0.137 0.260
Hg 0.260 0.688 0.532
Hg 0.433 0.639 0.897
Br 0.091 0.844 0.148
Br 0.404 0.221 0.597
O 0.017 0.374 0.354

## Properties
Fermi-level density of states, states/eV per atom: 0.00
Raw formation energy, meV/atom: -289

---

5.
SrZnRu2O8: relaxed, PBE.

a = 8.807 Å, b = 5.889 Å, c = 7.449 Å
α = 90.00°, β = 92.08°, γ = 90.00°
Space group C2/m (No. 12)
Inequivalent atoms, fractional coordinates:
Sr 0.000 0.000 0.000
Zn 0.000 0.000 0.500
Ru 0.131 0.500 0.282
O 0.019 0.242 0.287
O 0.217 0.500 0.069
O 0.232 0.000 0.537

## Properties
Fermi-level density of states, states/eV per atom: 0.04
Raw formation energy, meV/atom: -1214

---

6.
K3Ac2ThO6: relaxed, PBE.

a = 6.642 Å, b = 11.653 Å, c = 6.955 Å
α = 90.00°, β = 105.10°, γ = 90.00°
Space group C2/m (No. 12)
Inequivalent atoms, fractional coordinates:
K 0.000 0.000 0.000
K 0.000 0.343 0.000
Ac 0.000 0.167 0.500
Th 0.000 0.500 0.500
O 0.201 0.346 0.665
O 0.236 0.000 0.673

## Properties
Fermi-level density of states, states/eV per atom: 0.19
Raw formation energy, meV/atom: -2562

---

7.
Y3HPb: relaxed, PBE.

a = 6.455 Å, b = 6.455 Å, c = 12.400 Å
α = 90.00°, β = 90.00°, γ = 90.00°
Space group I-4m2 (No. 119)
Inequivalent atoms, fractional coordinates:
Y 0.000 0.000 0.132
Y 0.000 0.251 0.625
H 0.000 0.000 0.500
H 0.000 0.500 0.750
Pb 0.000 0.500 0.108

## Properties
Fermi-level density of states, states/eV per atom: 0.65
Distance to the lowest polymorph of the same formula, meV/atom: 286.4

---

8.
Cs2VSiS4: relaxed, PBE.

a = 6.085 Å, b = 13.828 Å, c = 24.788 Å
α = 90.00°, β = 90.00°, γ = 90.00°
Space group Fddd (No. 70, origin choice 2)
Inequivalent atoms, fractional coordinates:
Cs 0.125 0.125 0.301
V 0.125 0.125 0.125
Si 0.125 0.125 0.625
S 0.095 0.288 0.828

## Properties
Fermi-level density of states, states/eV per atom: 0.04
Raw formation energy, meV/atom: -968

---

9.
LiBe3Ni: relaxed, PBE.

a = 4.010 Å, b = 4.010 Å, c = 4.010 Å
α = 90.00°, β = 90.00°, γ = 90.00°
Space group Pm-3m (No. 221)
Inequivalent atoms, fractional coordinates:
Li 0.000 0.000 0.000
Be 0.000 0.500 0.500
Ni 0.500 0.500 0.500

## Properties
Fermi-level density of states, states/eV per atom: 0.29
Distance to the lowest polymorph of the same formula, meV/atom: 0.0
Energy of formation from the pure elements, kJ/mol of atoms: 26

---

10.
CsGa2TcPb: relaxed, PBE.

a = 5.190 Å, b = 5.190 Å, c = 5.345 Å
α = 90.00°, β = 90.00°, γ = 90.00°
Space group P4/mmm (No. 123)
Inequivalent atoms, fractional coordinates:
Cs 0.000 0.000 0.000
Ga 0.000 0.500 0.500
Tc 0.500 0.500 0.500
Pb 0.500 0.500 0.000

## Properties
Fermi-level density of states, states/eV per atom: 0.15
Energy of formation from the pure elements, kJ/mol of atoms: -1

---

11.
Sr4MoOs: relaxed, PBE.

a = 9.098 Å, b = 9.098 Å, c = 9.098 Å
α = 90.00°, β = 90.00°, γ = 90.00°
Space group F-43m (No. 216)
Inequivalent atoms, fractional coordinates:
Sr 0.124 0.124 0.376
Mo 0.000 0.000 0.000
Os 0.250 0.250 0.750

## Properties
Fermi-level density of states, states/eV per atom: 1.01
Energy of formation from the pure elements, kJ/mol of atoms: 168

---

12.
Mg2HIr3: relaxed, PBE.

a = 8.972 Å, b = 4.574 Å, c = 5.020 Å
α = 90.00°, β = 119.71°, γ = 90.00°
Space group Cm (No. 8)
Inequivalent atoms, fractional coordinates:
Mg 0.000 0.000 0.000
Mg 0.125 0.500 0.669
H 0.046 0.000 0.479
Ir 0.299 0.000 0.592
Ir 0.322 0.000 0.094
Ir 0.336 0.500 0.356

## Properties
Fermi-level density of states, states/eV per atom: 0.67
Distance to the lowest polymorph of the same formula, meV/atom: 0.0

---

13.
TlSb2Os: relaxed, PBE.

a = 7.016 Å, b = 4.061 Å, c = 7.808 Å
α = 90.00°, β = 107.59°, γ = 90.00°
Space group C2/m (No. 12)
Inequivalent atoms, fractional coordinates:
Tl 0.000 0.000 0.000
Sb 0.225 0.000 0.676
Os 0.000 0.500 0.500

## Properties
Fermi-level density of states, states/eV per atom: 0.67
Distance to the lowest polymorph of the same formula, meV/atom: 33.2
Raw formation energy, meV/atom: 247

---

14.
CuHgI2O: relaxed, PBE.

a = 5.938 Å, b = 5.938 Å, c = 4.064 Å
α = 90.00°, β = 90.00°, γ = 90.00°
Space group P4/mmm (No. 123)
Inequivalent atoms, fractional coordinates:
Cu 0.000 0.000 0.000
Hg 0.500 0.500 0.500
I 0.000 0.500 0.500
O 0.500 0.500 0.000

## Properties
Fermi-level density of states, states/eV per atom: 1.57
Distance to the lowest polymorph of the same formula, meV/atom: 480.1
Raw formation energy, meV/atom: 528

---

15.
K2LiSbF6: relaxed, PBE.

a = 8.584 Å, b = 8.584 Å, c = 8.584 Å
α = 90.00°, β = 90.00°, γ = 90.00°
Space group Fm-3m (No. 225)
Inequivalent atoms, fractional coordinates:
K 0.250 0.250 0.250
Li 0.000 0.000 0.000
Sb 0.000 0.000 0.500
F 0.000 0.000 0.244

## Properties
Fermi-level density of states, states/eV per atom: 0.00
Raw formation energy, meV/atom: -2650

---

16.
NaSr2Tl3: relaxed, PBE.

a = 5.6759 Å, b = 5.6759 Å, c = 13.9173 Å
α = 90.00°, β = 90.00°, γ = 120.00°
Space group P-3m1 (No. 164)
Inequivalent atoms, fractional coordinates:
Na 0.3333 0.6667 0.1647
Sr 0.0000 0.0000 0.0000
Sr 0.0000 0.0000 0.5000
Sr 0.3333 0.6667 0.6736
Tl 0.0000 0.0000 0.2453
Tl 0.3333 0.6667 0.4109
Tl 0.3333 0.6667 0.9206

## Properties
Fermi-level density of states, states/eV per atom: 0.61
Distance to the lowest polymorph of the same formula, meV/atom: 0.0
Energy of formation from the pure elements, kJ/mol of atoms: -30

---

17.
Dy2PuTi: relaxed, PBE.

a = 3.2938 Å, b = 3.2938 Å, c = 34.6026 Å
α = 90.00°, β = 90.00°, γ = 120.00°
Space group R-3m (No. 166, hexagonal axes)
Inequivalent atoms, fractional coordinates:
Dy 0.0000 0.0000 0.0851
Pu 0.0000 0.0000 0.5000
Ti 0.0000 0.0000 0.0000

## Properties
Fermi-level density of states, states/eV per atom: 2.78
Energy of formation from the pure elements, kJ/mol of atoms: 45

---

18.
ZrMo2Os: relaxed, PBE.

a = 6.432 Å, b = 6.432 Å, c = 6.432 Å
α = 90.00°, β = 90.00°, γ = 90.00°
Space group F-43m (No. 216)
Inequivalent atoms, fractional coordinates:
Zr 0.000 0.000 0.000
Mo 0.000 0.000 0.500
Mo 0.250 0.250 0.250
Os 0.250 0.250 0.750

## Properties
Fermi-level density of states, states/eV per atom: 0.35
Distance to the lowest polymorph of the same formula, meV/atom: 0.0
Energy of formation from the pure elements, kJ/mol of atoms: -12

---

19.
TbPr5Th: relaxed, PBE.

a = 8.772 Å, b = 9.983 Å, c = 11.924 Å
α = 90.00°, β = 108.96°, γ = 90.00°
Space group C2/c (No. 15)
Inequivalent atoms, fractional coordinates:
Tb 0.000 0.241 0.250
Pr 0.000 0.106 0.750
Pr 0.116 0.442 0.660
Pr 0.171 0.102 0.536
Th 0.250 0.250 0.000

## Properties
Fermi-level density of states, states/eV per atom: 1.48
Energy of formation from the pure elements, kJ/mol of atoms: 14

---

20.
PmGdN: relaxed, PBE.

a = 3.5769 Å, b = 3.5769 Å, c = 6.1842 Å
α = 90.00°, β = 90.00°, γ = 120.00°
Space group P3m1 (No. 156)
Inequivalent atoms, fractional coordinates:
Pm 0.0000 0.0000 0.0000
Gd 0.3333 0.6667 0.4416
N 0.6667 0.3333 0.2344

## Properties
Fermi-level density of states, states/eV per atom: 0.70
Distance to the lowest polymorph of the same formula, meV/atom: 0.0
Raw formation energy, meV/atom: -952